Entry 1:
MnSnGeO6 PBE with a Hubbard U optimized geometry; crystal system = tetragonal; symmetry = P4_2nm, No. 102; DFT total energy = -6.58 eV/atom; total moment = 6.00 μB/cell
1.0
4.596 0.000 0.000
0.000 4.596 0.000
0.000 0.000 9.118
Mn Sn Ge O
2 2 2 12
direct
0.500 0.500 0.500
0.000 0.000 0.000
0.500 0.500 0.167
0.000 0.000 0.667
0.500 0.500 0.834
0.000 0.000 0.334
0.199 0.801 0.490
0.801 0.199 0.490
0.301 0.301 0.990
0.699 0.699 0.990
0.181 0.819 0.168
0.819 0.181 0.168
0.319 0.319 0.668
0.681 0.681 0.668
0.799 0.201 0.842
0.201 0.799 0.842
0.701 0.701 0.342
0.299 0.299 0.342

---

Entry 2:
Sr2MnGeO6 PBE with a Hubbard U optimized geometry; DOS at the Fermi energy = 0.293 states/eV/atom; crystal system = cubic; symmetry = Fm-3m, No. 225; DFT total energy = -6.63 eV/atom; total moment = 3.16 μB/cell
1.0
-1.402 -3.928 -3.547
0.487 -5.267 1.415
-4.479 -3.021 0.890
Sr Mn Ge O
2 1 1 6
direct
0.750 0.750 0.750
0.250 0.250 0.250
0.000 0.000 0.000
0.500 0.500 0.500
0.252 0.748 0.748
0.252 0.748 0.252
0.252 0.252 0.748
0.748 0.748 0.252
0.748 0.252 0.252
0.748 0.252 0.748

---

Entry 3:
SrMnGeO4 PBE with a Hubbard U optimized geometry; DOS at the Fermi energy = 0.000 states/eV/atom; crystal system = monoclinic; symmetry = P2_1/m, No. 11; DFT total energy = -6.84 eV/atom; total moment = 10.00 μB/cell
1.0
5.593 0.000 0.088
0.000 5.756 0.000
-2.074 0.000 6.333
Sr Mn Ge O
2 2 2 8
direct
0.730 0.750 0.944
0.270 0.250 0.056
0.821 0.750 0.472
0.179 0.250 0.528
0.271 0.750 0.335
0.729 0.250 0.665
0.957 0.482 0.714
0.043 0.982 0.286
0.043 0.518 0.286
0.957 0.018 0.714
0.452 0.750 0.158
0.548 0.250 0.842
0.486 0.750 0.584
0.514 0.250 0.416

---

Entry 4:
Sr3Mn3GeO8 PBE with a Hubbard U optimized geometry; crystal system = trigonal; symmetry = R-3m, No. 166; DFT total energy = -6.81 eV/atom; total moment = 15.00 μB/cell
1.0
6.611 0.001 0.000
-3.305 5.727 -0.018
-0.001 -3.799 5.687
Sr Mn Ge O
3 3 1 8
direct
0.000 0.000 0.000
0.000 0.500 0.000
0.500 0.500 0.000
0.500 0.000 0.500
0.500 0.500 0.500
0.000 0.500 0.500
0.000 0.000 0.500
0.261 0.521 0.282
0.739 0.479 0.718
0.790 0.580 0.307
0.210 0.420 0.693
0.790 0.017 0.307
0.210 0.983 0.693
0.227 0.017 0.307
0.773 0.983 0.693

---

Entry 5:
Sr3MnGe2O8 PBE with a Hubbard U optimized geometry; DOS at the Fermi energy = 0.000 states/eV/atom; crystal system = trigonal; symmetry = P-3m1, No. 164; DFT total energy = -6.67 eV/atom; total moment = 5.00 μB/cell
1.0
5.721 0.000 0.000
-2.860 4.954 0.000
0.000 0.000 7.172
Sr Mn Ge O
3 1 2 8
direct
0.333 0.667 0.647
0.667 0.333 0.353
0.000 0.000 0.000
0.000 0.000 0.500
0.333 0.667 0.207
0.667 0.333 0.793
0.333 0.667 0.967
0.667 0.333 0.033
0.169 0.831 0.310
0.831 0.169 0.690
0.169 0.339 0.310
0.831 0.661 0.690
0.661 0.831 0.310
0.339 0.169 0.690

---

Entry 6:
TaMnGe2O8 PBE with a Hubbard U optimized geometry; DOS at the Fermi energy = 0.089 states/eV/atom; crystal system = tetragonal; symmetry = I-4m2, No. 119; DFT total energy = -7.54 eV/atom; total moment = 3.98 μB/cell
1.0
5.581 0.303 0.000
-2.203 5.137 0.000
-1.689 -2.720 4.581
Ta Mn Ge O
1 1 2 8
direct
0.250 0.750 0.500
0.000 0.000 0.000
0.750 0.250 0.500
0.500 0.500 0.000
0.358 0.047 0.311
0.317 0.516 0.200
0.317 0.117 0.800
0.737 0.047 0.689
0.883 0.683 0.200
0.953 0.263 0.311
0.953 0.642 0.689
0.484 0.683 0.800

---

Entry 7:
Mn2TcGeO6 PBE with a Hubbard U optimized geometry; crystal system = trigonal; symmetry = R3, No. 146; DFT total energy = -7.45 eV/atom; total moment = 13.00 μB/cell
1.0
-2.557 2.553 3.881
-4.289 -2.178 2.231
0.351 -1.911 5.112
Mn Tc Ge O
2 1 1 6
direct
0.538 0.538 0.386
0.037 0.037 0.890
0.816 0.816 0.552
0.315 0.315 0.055
0.579 0.190 0.265
0.190 0.966 0.265
0.966 0.579 0.265
0.452 0.674 0.778
0.674 0.096 0.778
0.096 0.452 0.779

---

Entry 8:
TiMnGeO6 PBE with a Hubbard U optimized geometry; DOS at the Fermi energy = 0.005 states/eV/atom; crystal system = tetragonal; symmetry = P4_2nm, No. 102; DFT total energy = -7.48 eV/atom; total moment = 6.00 μB/cell
1.0
-0.196 0.326 4.523
-2.508 -3.780 0.164
7.359 -4.853 0.668
Ti Mn Ge O
2 2 2 12
direct
0.500 0.500 0.169
0.000 0.000 0.669
0.500 0.500 0.500
0.000 0.000 0.000
0.500 0.500 0.834
0.000 0.000 0.334
0.195 0.805 0.496
0.805 0.195 0.496
0.305 0.305 0.996
0.695 0.695 0.996
0.189 0.811 0.168
0.811 0.189 0.168
0.311 0.311 0.668
0.689 0.689 0.668
0.803 0.197 0.834
0.197 0.803 0.834
0.697 0.697 0.334
0.303 0.303 0.334

---

Among the records above, which one has the highest DFT total energy?
MnSnGeO6

---

The lowest total moment belongs to which entry?
Sr2MnGeO6

---

Which of these has the lowest total moment?
Sr2MnGeO6

---

total moment of number 1 (MnSnGeO6)?
6.00 μB/cell